Material: Li2BiBr
Method: DFT, PBE
State: optimized geometry

Cell lengths 7.0053, 7.0053, 8.6735 Å; angles 90.00, 90.00, 90.00 degrees
With the nearest neighbours (Å) after each atom.
Fractional coordinates of all 16 atoms:
Li1 0.1924 0.2500 0.1250  2 Br 2.46
Li2 0.2500 0.6924 0.3750  2 Br 2.46
Li3 0.2500 0.8076 0.8750  2 Br 2.46
Li4 0.3076 0.2500 0.6250  2 Br 2.46
Li5 0.6924 0.7500 0.6250  2 Br 2.46
Li6 0.7500 0.1924 0.8750  2 Br 2.46
Li7 0.7500 0.3076 0.3750  2 Br 2.46
Li8 0.8076 0.7500 0.1250  2 Br 2.46
Bi1 0.0000 0.0000 0.5000  4 Li 2.98
Bi2 0.0000 0.5000 0.7500  4 Li 2.98
Bi3 0.5000 0.0000 0.2500  4 Li 2.98
Bi4 0.5000 0.5000 0.0000  4 Li 2.98
Br1 0.0000 0.0000 0.0000  4 Li 2.46
Br2 0.0000 0.5000 0.2500  4 Li 2.46
Br3 0.5000 0.0000 0.7500  4 Li 2.46
Br4 0.5000 0.5000 0.5000  4 Li 2.46

Computed properties:
E_tot = -47.5 eV per cell
energy above the most stable polymorph in this dataset = 152 meV per atom
formation energy (no corrections) = -624.6 meV/atom
space group = I-42d, No. 122
magnetic moment = 0.000 μB per cell

=====

Material: LiBiBrN2
Method: DFT, PBE
State: optimized geometry

Cell lengths 4.2545, 4.2545, 10.0557 Å; angles 90.00, 90.00, 90.00 degrees
With the nearest neighbours (Å) after each atom.
Fractional coordinates of all 5 atoms:
Li1 0.0000 0.0000 0.0000  4 Br 3.01
Bi1 0.0000 0.0000 0.5000  4 N 2.13
Br1 0.5000 0.5000 0.0000  4 Li 3.01
N1 0.0000 0.5000 0.5000  2 Bi 2.13
N2 0.5000 0.0000 0.5000  2 Bi 2.13

Computed properties:
E_tot = -19.2 eV per cell
formation energy (no corrections) = 973.9 meV/atom
space group = P4/mmm, No. 123
magnetic moment = 1.401 μB per cell

=====

Material: Na2LiBiBr6
Method: DFT, PBE
State: optimized geometry

Cell lengths 7.8247, 7.8247, 7.8247 Å; angles 60.00, 60.00, 60.00 degrees
With the nearest neighbours (Å) after each atom.
Fractional coordinates of all 10 atoms:
Na1 0.2500 0.2500 0.2500  12 Br 3.91
Na2 0.7500 0.7500 0.7500  12 Br 3.91
Li1 0.0000 0.0000 0.0000  6 Br 2.69
Bi1 0.5000 0.5000 0.5000  6 Br 2.84
Br1 0.2432 0.2432 0.7568  1 Li 2.69, 1 Bi 2.84
Br2 0.2432 0.7568 0.2432  1 Li 2.69, 1 Bi 2.84
Br3 0.2432 0.7568 0.7568  1 Li 2.69, 1 Bi 2.84
Br4 0.7568 0.2432 0.2432  1 Li 2.69, 1 Bi 2.84
Br5 0.7568 0.2432 0.7568  1 Li 2.69, 1 Bi 2.84
Br6 0.7568 0.7568 0.2432  1 Li 2.69, 1 Bi 2.84

Computed properties:
E_tot = -29.2 eV per cell
energy above the most stable polymorph in this dataset = 157 meV per atom
formation energy (no corrections) = -1068.7 meV/atom
space group = Fm-3m, No. 225
magnetic moment = 0.000 μB per cell